[1]
Below is a relaxed structure of Sr2CrAg, with properties calculated at the GGA-PBEsol level.

Unit cell a=3.749 b=3.749 c=8.658 alpha=90.00 beta=90.00 gamma=90.00
Element x y z (fractional)
Sr  0.000  0.000  0.000
Sr  0.500  0.500  0.388
Cr  0.500  0.500  0.749
Ag  0.000  0.000  0.629

Properties
- Crystal system: tetragonal
- Space group: No. 99
- Energy of formation: 0.40 eV/atom

[2]
Below is a relaxed structure of LiYN2O, with properties calculated at the GGA-PBEsol level.

Unit cell a=4.554 b=4.554 c=4.300 alpha=90.00 beta=90.00 gamma=90.00
Element x y z (fractional)
Li  0.000  0.000  0.000
Y  0.500  0.500  0.500
N  0.000  0.500  0.500
N  0.500  0.000  0.500
O  0.500  0.500  0.000

Properties
- Crystal system: tetragonal
- Space group: No. 123
- E_form (uncorrected): 0.4 eV per formula unit

[3]
Below is a relaxed structure of Rh3W, with properties calculated at the GGA-PBEsol level.

Unit cell a=5.402 b=5.402 c=8.770 alpha=90.00 beta=90.00 gamma=120.00
Element x y z (fractional)
Rh  0.000  0.500  0.000
Rh  0.000  0.500  0.500
Rh  0.168  0.337  0.250
Rh  0.168  0.832  0.250
Rh  0.337  0.168  0.750
Rh  0.500  0.000  0.000
Rh  0.500  0.000  0.500
Rh  0.500  0.500  0.000
Rh  0.500  0.500  0.500
Rh  0.663  0.832  0.250
Rh  0.832  0.168  0.750
Rh  0.832  0.663  0.750
W  0.000  0.000  0.000
W  0.000  0.000  0.500
W  0.333  0.667  0.750
W  0.667  0.333  0.250

Properties
- Crystal system: hexagonal
- Space group: No. 194
- Energy of formation: -0.26 eV/atom

[4]
Below is a relaxed structure of LaY, with properties calculated at the GGA-PBEsol level.

Unit cell a=3.586 b=3.586 c=10.081 alpha=90.00 beta=90.00 gamma=90.00
Element x y z (fractional)
La  0.250  0.250  0.124
La  0.750  0.750  0.876
Y  0.250  0.250  0.619
Y  0.750  0.750  0.381

Properties
- Crystal system: tetragonal
- Space group: No. 129
- Energy above the lowest structure with this stoichiometry: 0.026 eV/atom
- Energy of formation: 0.03 eV/atom

[5]
Below is a relaxed structure of SrLiPb2, with properties calculated at the GGA-PBEsol level.

Unit cell a=6.432 b=6.432 c=6.432 alpha=43.55 beta=43.55 gamma=43.55
Element x y z (fractional)
Sr  0.000  0.000  0.000
Li  0.500  0.500  0.500
Pb  0.219  0.219  0.219
Pb  0.781  0.781  0.781

Properties
- Crystal system: trigonal
- Space group: No. 166
- Energy of formation: -0.40 eV/atom

[6]
Below is a relaxed structure of ScPt2Rh, with properties calculated at the GGA-PBEsol level.

Unit cell a=9.071 b=9.071 c=9.071 alpha=17.97 beta=17.97 gamma=17.97
Element x y z (fractional)
Sc  0.000  0.000  0.000
Pt  0.251  0.251  0.251
Pt  0.749  0.749  0.749
Rh  0.500  0.500  0.500

Properties
- Crystal system: trigonal
- Space group: No. 166
- Energy of formation: -0.27 eV/atom

[7]
Below is a relaxed structure of GeTeAsBr2, with properties calculated at the GGA-PBEsol level.

Unit cell a=5.386 b=5.386 c=5.455 alpha=90.00 beta=90.00 gamma=90.00
Element x y z (fractional)
Ge  0.000  0.000  0.000
Te  0.500  0.500  0.500
As  0.500  0.500  0.000
Br  0.000  0.500  0.500
Br  0.500  0.000  0.500

Properties
- Crystal system: tetragonal
- Space group: No. 123
- E_form (uncorrected): 3.2 eV per formula unit

[8]
Below is a relaxed structure of KZnCo2, with properties calculated at the GGA-PBEsol level.

Unit cell a=5.181 b=5.181 c=2.522 alpha=90.00 beta=90.00 gamma=116.02
Element x y z (fractional)
K  0.000  0.000  0.000
Zn  0.500  0.500  0.000
Co  0.000  0.500  0.500
Co  0.500  0.000  0.500

Properties
- Crystal system: orthorhombic
- Space group: No. 65
- Energy of formation: 1.05 eV/atom

[9]
Below is a relaxed structure of Cd4MoBr, with properties calculated at the GGA-PBEsol level.

Unit cell a=5.713 b=5.713 c=5.713 alpha=60.00 beta=60.00 gamma=60.00
Element x y z (fractional)
Cd  0.376  0.376  0.376
Cd  0.376  0.376  0.873
Cd  0.376  0.873  0.376
Cd  0.873  0.376  0.376
Mo  0.750  0.750  0.750
Br  0.000  0.000  0.000

Properties
- Crystal system: cubic
- Space group: No. 216
- E_form (uncorrected): 4.0 eV per formula unit

[10]
Below is a relaxed structure of LaEuS2, with properties calculated at the GGA-PBEsol level.

Unit cell a=7.070 b=7.070 c=7.070 alpha=33.48 beta=33.48 gamma=33.48
Element x y z (fractional)
La  0.000  0.000  0.000
Eu  0.500  0.500  0.500
S  0.248  0.248  0.248
S  0.752  0.752  0.752

Properties
- Crystal system: trigonal
- Space group: No. 166
- E_form (uncorrected): -8.9 eV per formula unit

[11]
Below is a relaxed structure of MnBeAs2, with properties calculated at the GGA-PBEsol level.

Unit cell a=4.474 b=4.474 c=4.474 alpha=134.76 beta=120.34 gamma=77.93
Element x y z (fractional)
Mn  0.000  0.000  0.000
Be  0.500  0.500  0.000
As  0.274  0.774  0.500
As  0.726  0.226  0.500

Properties
- Crystal system: orthorhombic
- Space group: No. 71
- Energy above the lowest structure with this stoichiometry: 0.147 eV/atom
- Energy of formation: 0.24 eV/atom

[12]
Below is a relaxed structure of BAsI3, with properties calculated at the GGA-PBEsol level.

Unit cell a=4.977 b=4.977 c=4.977 alpha=90.00 beta=90.00 gamma=90.00
Element x y z (fractional)
B  0.000  0.000  0.000
As  0.500  0.500  0.500
I  0.000  0.000  0.500
I  0.000  0.500  0.000
I  0.500  0.000  0.000

Properties
- Crystal system: cubic
- Space group: No. 221
- E_form (uncorrected): 4.4 eV per formula unit